Entry 1:
Below is Y3Th5Sc after structural relaxation, with properties calculated at the PBE level.

Geometry as CIF:
```
data_Y3Th5Sc
_cell_length_a 9.228
_cell_length_b 9.228
_cell_length_c 13.882
_cell_angle_alpha 90.00
_cell_angle_beta 90.00
_cell_angle_gamma 90.00
_space_group_name_H-M_alt 'I 4/m c m'
_space_group_IT_number 140
_space_group_name_Hall '-I 4 2c'
loop_
_atom_site_label
_atom_site_type_symbol
_atom_site_fract_x
_atom_site_fract_y
_atom_site_fract_z
Y1 Y 0.000 0.000 0.250
Y2 Y 0.105 0.395 0.000
Th1 Th 0.000 0.000 0.000
Th2 Th 0.206 0.294 0.368
Sc1 Sc 0.000 0.500 0.250
```

Calculated values
As for the total magnetic moment: 0.000 μB/atom. Its formation enthalpy at 0 K is 0.46 eV per atom.


Entry 2:
Below is Y6ThSc2 after structural relaxation, with properties calculated at the PBE level.

Geometry as CIF:
```
data_Y6ThSc2
_cell_length_a 7.2903
_cell_length_b 7.2903
_cell_length_c 19.1884
_cell_angle_alpha 90.00
_cell_angle_beta 90.00
_cell_angle_gamma 120.00
_space_group_name_H-M_alt 'R 3 m'
_space_group_IT_number 160
_space_group_name_Hall 'R 3 -2"'
loop_
_atom_site_label
_atom_site_type_symbol
_atom_site_fract_x
_atom_site_fract_y
_atom_site_fract_z
Y1 Y 0.1699 0.3399 0.0000
Y2 Y 0.1907 0.3813 0.2033
Th1 Th 0.0000 0.0000 0.1201
Sc1 Sc 0.0000 0.0000 0.6822
Sc2 Sc 0.0000 0.0000 0.8561
```

Calculated values
As for the total magnetic moment: 0.000 μB/atom. Its formation enthalpy at 0 K is 0.48 eV per atom. The calculation puts the distance to the lowest polymorph of the same formula at 9.674 kcal/mol of atoms.


Entry 3:
Below is YThSc2 after structural relaxation, with properties calculated at the PBE level.

Geometry as CIF:
```
data_YThSc2
_cell_length_a 3.4813
_cell_length_b 3.4813
_cell_length_c 32.4391
_cell_angle_alpha 90.00
_cell_angle_beta 90.00
_cell_angle_gamma 120.00
_space_group_name_H-M_alt 'R 3 m'
_space_group_IT_number 160
_space_group_name_Hall 'R 3 -2"'
loop_
_atom_site_label
_atom_site_type_symbol
_atom_site_fract_x
_atom_site_fract_y
_atom_site_fract_z
Y1 Y 0.0000 0.0000 0.0000
Th1 Th 0.0000 0.0000 0.8339
Sc1 Sc 0.0000 0.0000 0.2488
Sc2 Sc 0.0000 0.0000 0.4185
```

Calculated values
As for the total magnetic moment: 0.106 μB/atom. Its formation enthalpy at 0 K is 0.04 eV per atom. The calculation puts the distance to the lowest polymorph of the same formula at 0.387 kcal/mol of atoms.